Density functional theory data (GGA-PBE) for YMgCoPb after structural relaxation.

## Properties
Energy: -4.71 eV/atom
Symmetry: F-43m (216)
Size of the total moment: 0.00 μB per formula unit

a = 4.804 Å, b = 4.804 Å, c = 4.804 Å
α = 60.00°, β = 60.00°, γ = 60.00°
Positions (direct):
Co 0.250 0.250 0.250
Mg 0.750 0.750 0.750
Y 0.000 0.000 0.000
Pb 0.500 0.500 0.500